# 1
# Ce2ReO

A relaxed structure of Ce2ReO (GGA-PBE, Alexandria).

DOS at the Fermi energy in states/eV per cell: 17.74
ΔE_f (raw) in eV per atom: -1.045
Theoretical density in g cm⁻³: 10.62
Total DFT energy (no corrections) in eV/cell: -100.36

```
data_Ce2ReO
_space_group_name_H-M_alt 'R -3 m'
_space_group_IT_number 166
_space_group_name_Hall '-R 3 2"'
_cell_length_a 3.4515
_cell_length_b 3.4515
_cell_length_c 21.9280
_cell_angle_alpha 90.00
_cell_angle_beta 90.00
_cell_angle_gamma 120.00
loop_
_atom_site_label
_atom_site_type_symbol
_atom_site_fract_x
_atom_site_fract_y
_atom_site_fract_z
Ce1 Ce 0.0000 0.0000 0.2351
Re1 Re 0.0000 0.0000 0.0000
O1 O 0.0000 0.0000 0.5000
```



# 2
# Sr2CeReO8

A relaxed structure of Sr2CeReO8 (GGA-PBE, Alexandria).

DOS at the Fermi energy in states/eV per cell: 7.37
ΔE_f (raw) in eV per atom: -2.340
Theoretical density in g cm⁻³: 5.30
Total DFT energy (no corrections) in eV/cell: -89.49

```
data_Sr2CeReO8
_space_group_name_H-M_alt 'P 1 2/m 1'
_space_group_IT_number 10
_cell_length_a 5.306
_cell_length_b 7.008
_cell_length_c 5.311
_cell_angle_alpha 90.00
_cell_angle_beta 92.31
_cell_angle_gamma 90.00
loop_
_space_group_symop_operation_xyz
'x,y,z'
'-x,-y,-z'
'-x,y,-z'
'x,-y,z'
loop_
_atom_site_label
_atom_site_type_symbol
_atom_site_fract_x
_atom_site_fract_y
_atom_site_fract_z
Sr1 Sr 0.000 0.242 0.000
Ce1 Ce 0.500 0.500 0.500
Re1 Re 0.500 0.000 0.500
O1 O 0.224 0.500 0.225
O2 O 0.245 0.000 0.247
O3 O 0.331 0.201 0.670
```



# 3
# CeTlRe2O8

A relaxed structure of CeTlRe2O8 (GGA-PBE, Alexandria).

DOS at the Fermi energy in states/eV per cell: 7.09
ΔE_f (raw) in eV per atom: -1.819
Theoretical density in g cm⁻³: 5.50
Total DFT energy (no corrections) in eV/cell: -94.69

```
data_CeTlRe2O8
_space_group_name_H-M_alt 'P -3 m 1'
_space_group_IT_number 164
_space_group_name_Hall '-P 3 2"'
_cell_length_a 6.1324
_cell_length_b 6.1324
_cell_length_c 7.8343
_cell_angle_alpha 90.00
_cell_angle_beta 90.00
_cell_angle_gamma 120.00
loop_
_atom_site_label
_atom_site_type_symbol
_atom_site_fract_x
_atom_site_fract_y
_atom_site_fract_z
Ce1 Ce 0.0000 0.0000 0.0000
Tl1 Tl 0.0000 0.0000 0.5000
Re1 Re 0.3333 0.6667 0.2645
O1 O 0.1730 0.3459 0.1834
O2 O 0.3333 0.6667 0.4894
```



# 4
# Ce4Rh2O

A relaxed structure of Ce4Rh2O (GGA-PBE, Alexandria).

DOS at the Fermi energy in states/eV per cell: 38.45
ΔE_f (raw) in eV per atom: -1.106
Theoretical density in g cm⁻³: 8.06
Total DFT energy (no corrections) in eV/cell: -102.27

```
data_Ce4Rh2O
_space_group_name_H-M_alt 'I 4/m m m'
_space_group_IT_number 139
_space_group_name_Hall '-I 4 2'
_cell_length_a 4.744
_cell_length_b 4.744
_cell_length_c 14.321
_cell_angle_alpha 90.00
_cell_angle_beta 90.00
_cell_angle_gamma 90.00
loop_
_atom_site_label
_atom_site_type_symbol
_atom_site_fract_x
_atom_site_fract_y
_atom_site_fract_z
Ce1 Ce 0.000 0.000 0.189
Ce2 Ce 0.000 0.500 0.000
Rh1 Rh 0.000 0.000 0.357
O1 O 0.000 0.000 0.000
```



# 5
# CeRhO

A relaxed structure of CeRhO (GGA-PBE, Alexandria).

DOS at the Fermi energy in states/eV per cell: 6.47
ΔE_f (raw) in eV per atom: -1.827
Theoretical density in g cm⁻³: 9.25
Total DFT energy (no corrections) in eV/cell: -47.45

```
data_CeRhO
_space_group_name_H-M_alt 'P 4/n m m'
_space_group_IT_number 129
_cell_length_a 3.470
_cell_length_b 3.470
_cell_length_c 7.724
_cell_angle_alpha 90.00
_cell_angle_beta 90.00
_cell_angle_gamma 90.00
loop_
_space_group_symop_operation_xyz
'x,y,z'
'-x,-y,-z'
'-y+1/2,x,z'
'y+1/2,-x,-z'
'-x+1/2,-y+1/2,z'
'x+1/2,y+1/2,-z'
'y,-x+1/2,z'
'-y,x+1/2,-z'
'x+1/2,-y,-z'
'-x+1/2,y,z'
'-y,-x,-z'
'y,x,z'
'-x,y+1/2,-z'
'x,-y+1/2,z'
'y+1/2,x+1/2,-z'
'-y+1/2,-x+1/2,z'
loop_
_atom_site_label
_atom_site_type_symbol
_atom_site_fract_x
_atom_site_fract_y
_atom_site_fract_z
Ce1 Ce 0.250 0.250 0.195
Rh1 Rh 0.250 0.250 0.582
O1 O 0.250 0.250 0.881
```



# 6
# CeRhO3

A relaxed structure of CeRhO3 (GGA-PBE, Alexandria).

DOS at the Fermi energy in states/eV per cell: 19.65
ΔE_f (raw) in eV per atom: -2.135
Theoretical density in g cm⁻³: 7.77
Total DFT energy (no corrections) in eV/cell: -155.35

```
data_CeRhO3
_space_group_name_H-M_alt 'P n m a'
_space_group_IT_number 62
_cell_length_a 6.091
_cell_length_b 7.584
_cell_length_c 5.388
_cell_angle_alpha 90.00
_cell_angle_beta 90.00
_cell_angle_gamma 90.00
loop_
_space_group_symop_operation_xyz
'x,y,z'
'-x,-y,-z'
'-x+1/2,-y,z+1/2'
'x+1/2,y,-z+1/2'
'x+1/2,-y+1/2,-z+1/2'
'-x+1/2,y+1/2,z+1/2'
'-x,y+1/2,-z'
'x,-y+1/2,z'
loop_
_atom_site_label
_atom_site_type_symbol
_atom_site_fract_x
_atom_site_fract_y
_atom_site_fract_z
Ce1 Ce 0.092 0.250 0.034
Rh1 Rh 0.000 0.000 0.500
O1 O 0.055 0.750 0.359
O2 O 0.187 0.561 0.828
```



# 7
# Sr2CeRhO6

A relaxed structure of Sr2CeRhO6 (GGA-PBE, Alexandria).

DOS at the Fermi energy in states/eV per cell: 11.28
ΔE_f (raw) in eV per atom: -2.410
Theoretical density in g cm⁻³: 5.94
Total DFT energy (no corrections) in eV/cell: -140.99

```
data_Sr2CeRhO6
_space_group_name_H-M_alt 'P 1 21/c 1'
_space_group_IT_number 14
_cell_length_a 5.857
_cell_length_b 5.911
_cell_length_c 10.115
_cell_angle_alpha 90.00
_cell_angle_beta 124.86
_cell_angle_gamma 90.00
loop_
_space_group_symop_operation_xyz
'x,y,z'
'-x,-y,-z'
'-x,y+1/2,-z+1/2'
'x,-y+1/2,z+1/2'
loop_
_atom_site_label
_atom_site_type_symbol
_atom_site_fract_x
_atom_site_fract_y
_atom_site_fract_z
Sr1 Sr 0.239 0.037 0.249
Ce1 Ce 0.500 0.000 0.000
Rh1 Rh 0.000 0.000 0.500
O1 O 0.159 0.225 0.960
O2 O 0.234 0.703 0.960
O3 O 0.312 0.018 0.737
```



# 8
# Ce4Ru2O

A relaxed structure of Ce4Ru2O (GGA-PBE, Alexandria).

DOS at the Fermi energy in states/eV per cell: 31.12
ΔE_f (raw) in eV per atom: -0.935
Theoretical density in g cm⁻³: 8.17
Total DFT energy (no corrections) in eV/cell: -107.58

```
data_Ce4Ru2O
_space_group_name_H-M_alt 'I 4/m m m'
_space_group_IT_number 139
_space_group_name_Hall '-I 4 2'
_cell_length_a 4.748
_cell_length_b 4.748
_cell_length_c 14.032
_cell_angle_alpha 90.00
_cell_angle_beta 90.00
_cell_angle_gamma 90.00
loop_
_atom_site_label
_atom_site_type_symbol
_atom_site_fract_x
_atom_site_fract_y
_atom_site_fract_z
Ce1 Ce 0.000 0.000 0.194
Ce2 Ce 0.000 0.500 0.000
Ru1 Ru 0.000 0.000 0.358
O1 O 0.000 0.000 0.000
```